HfMnPt6 | GGA-PBE | optimized geometry

a = 3.9925 Å, b = 3.9925 Å, c = 7.9454 Å
α = 90.00°, β = 90.00°, γ = 90.00°
Last column: nearest neighbours and their distance in Å.
Positions (direct):
Hf 0.0000 0.0000 0.0000  12 Pt 2.82-2.83
Mn 0.0000 0.0000 0.5000  12 Pt 2.80-2.82
Pt 0.0000 0.5000 0.2530  2 Mn 2.80, 8 Pt 2.80-2.83, 2 Hf 2.83
Pt 0.0000 0.5000 0.7470  2 Mn 2.80, 8 Pt 2.80-2.83, 2 Hf 2.83
Pt 0.5000 0.0000 0.2530  2 Mn 2.80, 8 Pt 2.80-2.83, 2 Hf 2.83
Pt 0.5000 0.0000 0.7470  2 Mn 2.80, 8 Pt 2.80-2.83, 2 Hf 2.83
Pt 0.5000 0.5000 0.0000  4 Hf 2.82, 8 Pt 2.83
Pt 0.5000 0.5000 0.5000  8 Pt 2.80, 4 Mn 2.82

Output
N(E_F)	7.59	states/eV/f.u.
energy of formation from the pure elements	-0.7457	eV/atom